(1)
Density functional theory data (PBE) for a geometry-optimized Cu4Au structure.

Cell: 8.8201 2.7119 6.5006 Å, 90.00 121.09 90.00°
Space group C2/m (No. 12)
Symmetry-distinct sites (fractional):
Cu (0.1044, 0.0000, 0.4137) [4 per cell]
Cu (0.1906, 0.5000, 0.7876) [4 per cell]
Au (0.0000, 0.5000, 0.0000) [2 per cell]

Computed properties:
- VASP energy: -0.1445 hartree per atom
- E_form: 0.00 eV/atom
- ΔE to the lowest computed polymorph: 27 meV per atom
- Density of states at the Fermi level: 0.278 states/eV per atom

***

(2)
Density functional theory data (PBE) for a geometry-optimized CuAu3 structure.

Cell: 2.9506 3.3694 6.7042 Å, 90.00 90.57 90.00°
Space group P2/m (No. 10)
Symmetry-distinct sites (fractional):
Cu (0.0000, 0.0000, 0.0000) [1 per cell]
Au (0.0000, 0.0000, 0.5000) [1 per cell]
Au (0.4980, 0.5000, 0.7756) [2 per cell]

Computed properties:
- VASP energy: -0.1290 hartree per atom
- E_form: -0.03 eV/atom
- Density of states at the Fermi level: 0.236 states/eV per atom

***

(3)
Density functional theory data (PBE) for a geometry-optimized Cu4Au5 structure.

Cell: 7.7892 7.7892 5.3818 Å, 90.00 90.00 120.00°
Space group P6_3/mcm (No. 193)
Symmetry-distinct sites (fractional):
Cu (0.0000, 0.0000, 0.0000) [2 per cell]
Cu (0.0000, 0.3535, 0.2500) [6 per cell]
Au (0.0000, 0.3052, 0.7500) [6 per cell]
Au (0.3333, 0.6667, 0.0000) [4 per cell]

Computed properties:
- VASP energy: -0.1331 hartree per atom
- E_form: 0.02 eV/atom
- ΔE to the lowest computed polymorph: 52 meV per atom
- Density of states at the Fermi level: 0.286 states/eV per atom

***

Calculated values (g/cm3) of density for the records, taken in order: 11.3; 16.3; 14.6.